Entry from Alexandria: a relaxed ScTcPt2 crystal (PBE).

Unit cell a=3.965 b=3.965 c=4.052 alpha=90.00 beta=90.00 gamma=90.00
Element x y z (fractional)
Sc1 0.000 0.000 0.000
Tc1 0.500 0.500 0.000
Pt1 0.000 0.500 0.500
Pt2 0.500 0.000 0.500

The calculation puts the offset from the most stable computed form at 31.0 meV/atom. The energy of formation from the pure elements comes out at -2.413 eV/f.u. The raw total energy comes out at -31.2 eV for the cell shown.

=====

Entry from Alexandria: a relaxed BeHg2As crystal (PBE).

Unit cell a=3.858 b=5.549 c=5.549 alpha=47.39 beta=90.00 gamma=90.00
Element x y z (fractional)
Be1 0.000 0.000 0.000
Hg1 0.000 0.606 0.606
Hg2 0.500 0.243 0.243
As1 0.500 0.896 0.896

The calculation puts the offset from the most stable computed form at 84.3 meV/atom. The energy of formation from the pure elements comes out at 0.574 eV/f.u. The raw total energy comes out at -8.4 eV for the cell shown.

=====

Entry from Alexandria: a relaxed LuScRuPt crystal (PBE).

Unit cell a=4.678 b=4.678 c=4.678 alpha=60.00 beta=60.00 gamma=60.00
Element x y z (fractional)
Lu1 0.000 0.000 0.000
Sc1 0.500 0.500 0.500
Ru1 0.250 0.250 0.250
Pt1 0.750 0.750 0.750

The energy of formation from the pure elements comes out at -3.715 eV/f.u. The raw total energy comes out at -29.9 eV for the cell shown.

=====

Entry from Alexandria: a relaxed NaAc2Cu crystal (PBE).

Unit cell a=10.887 b=10.887 c=10.887 alpha=21.47 beta=21.47 gamma=21.47
Element x y z (fractional)
Na1 0.000 0.000 0.000
Ac1 0.228 0.228 0.228
Ac2 0.438 0.438 0.438
Cu1 0.833 0.833 0.833

The calculation puts the offset from the most stable computed form at 54.2 meV/atom. The energy of formation from the pure elements comes out at 0.404 eV/f.u. The raw total energy comes out at -13.2 eV for the cell shown.

=====

Entry from Alexandria: a relaxed HgSb2PbW crystal (PBE).

Unit cell a=5.826 b=5.826 c=5.424 alpha=90.00 beta=90.00 gamma=90.00
Element x y z (fractional)
Hg1 0.000 0.000 0.000
Sb1 0.000 0.500 0.500
Sb2 0.500 0.000 0.500
Pb1 0.500 0.500 0.500
W1 0.500 0.500 0.000

The uncorrected formation energy comes out at 1.70 eV per atom. The raw total energy comes out at -16.7 eV for the cell shown.

=====

Entry from Alexandria: a relaxed ICl6F2 crystal (PBE).

Unit cell a=7.162 b=7.162 c=9.542 alpha=115.11 beta=115.11 gamma=35.40
Element x y z (fractional)
I1 0.000 0.000 0.000
Cl1 0.080 0.080 0.574
Cl2 0.193 0.193 0.221
Cl3 0.450 0.450 0.135
Cl4 0.550 0.550 0.865
Cl5 0.807 0.807 0.779
Cl6 0.920 0.920 0.426
F1 0.297 0.297 0.771
F2 0.703 0.703 0.229

The uncorrected formation energy comes out at -0.02 eV per atom. The raw total energy comes out at -16.6 eV for the cell shown.